1.
Ru3W5: relaxed, PBE-GGA.

The structure belongs to space group Cmmm (No. 65); the cell edges are 6.724, 8.516 and 4.317 Å and the angles 90.00°, 90.00° and 90.00°. Symmetry generates all atoms from Ru at (0.000, 0.000, 0.000), Ru at (0.217, 0.500, 0.500), W at (0.000, 0.213, 0.500), W at (0.000, 0.500, 0.000) and W at (0.250, 0.250, 0.000).

As for the crystal system: orthorhombic. For the total energy, the calculation gives -11.49 eV/atom.

2.
RuW: relaxed, PBE-GGA.

The structure belongs to space group P6_3/mmc (No. 194); the cell edges are 4.3445, 4.3445 and 4.9698 Å and the angles 90.00°, 90.00° and 120.00°. Symmetry generates all atoms from Ru at (0.3333, 0.6667, 0.2500) and W at (0.3333, 0.6667, 0.7500).

As for the crystal system: hexagonal. For the total energy, the calculation gives -10.00 eV/atom.

3.
RuW: relaxed, PBE-GGA.

The structure belongs to space group R-3m (No. 166, hexagonal axes); the cell edges are 2.7790, 2.7790 and 13.5373 Å and the angles 90.00°, 90.00° and 120.00°. Symmetry generates all atoms from Ru at (0.0000, 0.0000, 0.0000) and W at (0.0000, 0.0000, 0.5000).

As for the crystal system: trigonal. For the total energy, the calculation gives -11.00 eV/atom.

4.
RuW: relaxed, PBE-GGA.

The structure belongs to space group P2_1/m (No. 11); the cell edges are 2.751, 4.333 and 5.286 Å and the angles 90.00°, 103.81° and 90.00°. Symmetry generates all atoms from Ru at (0.174, 0.250, 0.351) and W at (0.432, 0.750, 0.140).

As for the crystal system: monoclinic. For the total energy, the calculation gives -10.93 eV/atom.

5.
Ru4W: relaxed, PBE-GGA.

The structure belongs to space group Im-3m (No. 229); the cell edges are 5.677, 5.677 and 5.677 Å and the angles 90.00°, 90.00° and 90.00°. Symmetry generates all atoms from Ru at (0.250, 0.250, 0.250) and W at (0.000, 0.000, 0.000).

As for the crystal system: cubic. For the total energy, the calculation gives -8.66 eV/atom.

6.
RuW: relaxed, PBE-GGA.

The structure belongs to space group I4_1/amd (No. 141, origin choice 2); the cell edges are 3.882, 3.882 and 8.007 Å and the angles 90.00°, 90.00° and 90.00°. Symmetry generates all atoms from Ru at (0.000, 0.250, 0.375) and W at (0.000, 0.250, 0.875).

As for the crystal system: tetragonal. For the total energy, the calculation gives -11.02 eV/atom.

7.
RuW: relaxed, PBE-GGA.

The structure belongs to space group P-3m1 (No. 164); the cell edges are 4.4178, 4.4178 and 10.9522 Å and the angles 90.00°, 90.00° and 120.00°. Symmetry generates all atoms from Ru at (0.0000, 0.0000, 0.1525), Ru at (0.3333, 0.6667, 0.1829), Ru at (0.3333, 0.6667, 0.4470), W at (0.0000, 0.0000, 0.3809), W at (0.3333, 0.6667, 0.7025) and W at (0.3333, 0.6667, 0.9554).

As for the crystal system: trigonal. For the total energy, the calculation gives -10.86 eV/atom.

8.
Ru4W3: relaxed, PBE-GGA.

The structure belongs to space group I4/mmm (No. 139); the cell edges are 3.172, 3.172 and 21.352 Å and the angles 90.00°, 90.00° and 90.00°. Symmetry generates all atoms from Ru at (0.000, 0.000, 0.065), Ru at (0.000, 0.000, 0.350), W at (0.000, 0.000, 0.211) and W at (0.000, 0.000, 0.500).

As for the crystal system: tetragonal. For the total energy, the calculation gives -10.62 eV/atom.

9.
RuW2: relaxed, PBE-GGA.

The structure belongs to space group Pnma (No. 62); the cell edges are 5.468, 4.264 and 8.021 Å and the angles 90.00°, 90.00° and 90.00°. Symmetry generates all atoms from Ru at (0.154, 0.250, 0.069), W at (0.041, 0.250, 0.740) and W at (0.167, 0.250, 0.410).

As for the crystal system: orthorhombic. For the total energy, the calculation gives -11.56 eV/atom.

10.
Ru3W: relaxed, PBE-GGA.

The structure belongs to space group P6_3/mmc (No. 194); the cell edges are 5.5186, 5.5186 and 4.3706 Å and the angles 90.00°, 90.00° and 120.00°. Symmetry generates all atoms from Ru at (0.1672, 0.3344, 0.2500) and W at (0.3333, 0.6667, 0.7500).

As for the crystal system: hexagonal. For the total energy, the calculation gives -10.26 eV/atom.

11.
Ru4W: relaxed, PBE-GGA.

The structure belongs to space group Pm-3m (No. 221); the cell edges are 4.641, 4.641 and 4.641 Å and the angles 90.00°, 90.00° and 90.00°. Symmetry generates all atoms from Ru at (0.000, 0.000, 0.000), Ru at (0.000, 0.500, 0.500) and W at (0.500, 0.500, 0.500).

As for the crystal system: cubic. For the total energy, the calculation gives -8.07 eV/atom.

12.
Ru3W: relaxed, PBE-GGA.

The structure belongs to space group Pm-3m (No. 221); the cell edges are 3.865, 3.865 and 3.865 Å and the angles 90.00°, 90.00° and 90.00°. Symmetry generates all atoms from Ru at (0.000, 0.000, 0.500) and W at (0.500, 0.500, 0.500).

As for the crystal system: cubic. For the total energy, the calculation gives -10.21 eV/atom.

no.,N(E_F) (states/eV/f.u.),DFT formation energy (eV/f.u.)
1,6.04,0.709
2,1.34,2.225
3,1.75,0.238
4,1.84,0.363
5,9.72,6.781
6,2.19,0.196
7,1.68,0.517
8,8.59,1.622
9,3.05,0.493
10,5.50,-0.258
11,7.10,9.688
12,5.22,-0.079